Version w
Below is crystalline ZrAlCoCu at its relaxed geometry, with properties calculated at the PBE level.

volume	58	Å³/cell
space group	No. 216

The structure in POSCAR format:
```
ZrAlCoCu
1.0
0.000 3.077 3.077
3.077 0.000 3.077
3.077 3.077 0.000
Zr Al Co Cu
1 1 1 1
Direct
0.000 0.000 0.000 Zr
0.500 0.500 0.500 Al
0.750 0.750 0.750 Co
0.250 0.250 0.250 Cu
```

Version x
Below is crystalline ZrAlCoCu at its relaxed geometry, with properties calculated at the PBE level.

volume	59	Å³/cell
space group	No. 216

The structure in POSCAR format:
```
ZrAlCoCu
1.0
0.000 3.089 3.089
3.089 0.000 3.089
3.089 3.089 0.000
Zr Al Co Cu
1 1 1 1
Direct
0.000 0.000 0.000 Zr
0.250 0.250 0.250 Al
0.750 0.750 0.750 Co
0.500 0.500 0.500 Cu
```

Short version: version x is the least stable of them.

Version w
Below is crystalline CdTePdO at its relaxed geometry, with properties calculated at the PBE level.

volume	168	Å³/cell
space group	No. 129

The structure in POSCAR format:
```
CdTePdO
1.0
4.359 0.000 0.000
0.000 4.359 0.000
0.000 0.000 8.868
Cd Te Pd O
2 2 2 2
Direct
0.250 0.250 0.148 Cd
0.750 0.750 0.852 Cd
0.250 0.750 0.500 Te
0.750 0.250 0.500 Te
0.250 0.250 0.685 Pd
0.750 0.750 0.315 Pd
0.250 0.250 0.914 O
0.750 0.750 0.086 O
```

Version x
Below is crystalline CdTePdO at its relaxed geometry, with properties calculated at the PBE level.

volume	147	Å³/cell
space group	No. 129

The structure in POSCAR format:
```
CdTePdO
1.0
4.091 0.000 0.000
0.000 4.091 0.000
0.000 0.000 8.806
Cd Te Pd O
2 2 2 2
Direct
0.250 0.750 0.000 Cd
0.750 0.250 0.000 Cd
0.250 0.250 0.312 Te
0.750 0.750 0.688 Te
0.250 0.250 0.769 Pd
0.750 0.750 0.231 Pd
0.250 0.250 0.526 O
0.750 0.750 0.474 O
```

Short version: version w is the least stable of them.

Version w
Below is crystalline PmUCu at its relaxed geometry, with properties calculated at the PBE level.

volume	202	Å³/cell
space group	No. 156

The structure in POSCAR format:
```
PmUCu
1.0
5.219 0.000 0.000
-2.610 4.520 0.000
0.000 0.000 8.569
Pm U Cu
3 3 3
Direct
0.000 0.000 0.000 Pm
0.000 0.000 0.362 Pm
0.333 0.667 0.676 Pm
0.667 0.333 0.182 U
0.667 0.333 0.512 U
0.667 0.333 0.843 U
0.000 0.000 0.681 Cu
0.333 0.667 0.034 Cu
0.333 0.667 0.324 Cu
```

Version x
Below is crystalline PmUCu at its relaxed geometry, with properties calculated at the PBE level.

volume	75	Å³/cell
space group	No. 216

The structure in POSCAR format:
```
PmUCu
1.0
0.000 3.343 3.343
3.343 0.000 3.343
3.343 3.343 0.000
Pm U Cu
1 1 1
Direct
0.000 0.000 0.000 Pm
0.500 0.500 0.500 U
0.250 0.250 0.250 Cu
```

Short version: version x is the least stable of them.